1.
# NpScPd6

An optimized crystal structure of NpScPd6 (GGA-PBE, Alexandria via LeMat-Bulk).

Unit cell a=4.072 b=4.072 c=8.140 alpha=90.00 beta=90.00 gamma=90.00
Fractional coordinates of all 8 atoms:
Pd  0.500  0.500  0.500
Pd  0.500  0.000  0.755
Pd  0.000  0.500  0.245
Pd  0.500  0.000  0.245
Pd  0.500  0.500  0.000
Pd  0.000  0.500  0.755
Sc  0.000  0.000  0.000
Np  0.000  0.000  0.500

D(E_F) = 1.682 states/eV/atom
space-group type = No. 123
theoretical density = 11.33 Mg/m³
ΔE_f = -653.5 meV/atom
M_tot = 0.374 μB/atom

=====

2.
# Np2PdSe4

An optimized crystal structure of Np2PdSe4 (GGA-PBE, Alexandria via LeMat-Bulk).

Unit cell a=4.258 b=7.189 c=10.899 alpha=90.00 beta=90.00 gamma=90.00
Fractional coordinates of all 14 atoms:
Se  0.000  0.885  0.283
Se  0.500  0.750  0.557
Se  0.500  0.250  0.943
Se  0.500  0.250  0.443
Se  0.500  0.750  0.057
Se  0.000  0.115  0.717
Se  0.000  0.615  0.783
Se  0.000  0.385  0.217
Np  0.500  0.114  0.185
Np  0.500  0.614  0.315
Np  0.500  0.886  0.815
Np  0.500  0.386  0.685
Pd  0.000  0.000  0.500
Pd  0.000  0.500  0.000

D(E_F) = 2.793 states/eV/atom
space-group type = No. 55
raw formation energy = -0.8369 eV per atom
theoretical density = 8.92 Mg/m³
M_tot = 1.083 μB/atom